# 1
Compound: Sm2Dy3Ir2
Source: Alexandria
Functional: PBE-GGA
Structure: optimized geometry

- energy of formation from the pure elements (kJ/mol of formula units) = -405.1
- crystal system = monoclinic
- total moment (μB/atom) = 0.000
- space-group type = No. 12

Lattice parameters (Å, degrees): 6.400 6.400 8.997 115.31 115.31 34.88
Element x y z (fractional)
Sm (0.167, 0.167, 0.307)
Sm (0.833, 0.833, 0.693)
Dy (0.381, 0.381, 0.070)
Dy (0.500, 0.500, 0.500)
Dy (0.619, 0.619, 0.930)
Ir (0.174, 0.174, 0.740)
Ir (0.826, 0.826, 0.260)

---

# 2
Compound: SmDy3Ir8
Source: Alexandria
Functional: PBE-GGA
Structure: optimized geometry

- energy of formation from the pure elements (kJ/mol of formula units) = -919.7
- crystal system = trigonal
- total moment (μB/atom) = 0.000
- ΔE to the lowest computed polymorph (kJ/mol of atoms) = 0.0
- space-group type = No. 160

Lattice parameters (Å, degrees): 9.300 9.300 9.300 33.59 33.59 33.59
Element x y z (fractional)
Sm (0.000, 0.000, 0.000)
Dy (0.125, 0.125, 0.125)
Dy (0.500, 0.500, 0.500)
Dy (0.625, 0.625, 0.625)
Ir (0.062, 0.062, 0.561)
Ir (0.062, 0.561, 0.062)
Ir (0.063, 0.563, 0.563)
Ir (0.312, 0.312, 0.312)
Ir (0.561, 0.062, 0.062)
Ir (0.563, 0.063, 0.563)
Ir (0.563, 0.563, 0.063)
Ir (0.812, 0.812, 0.812)

---

# 3
Compound: SmDy8Ir6
Source: Alexandria
Functional: PBE-GGA
Structure: optimized geometry

- energy of formation from the pure elements (kJ/mol of formula units) = -1113.9
- crystal system = trigonal
- total moment (μB/atom) = 0.000
- space-group type = No. 148

Lattice parameters (Å, degrees): 7.679 7.679 7.679 65.51 65.51 65.51
Element x y z (fractional)
Sm (0.000, 0.000, 0.000)
Dy (0.111, 0.449, 0.777)
Dy (0.223, 0.889, 0.551)
Dy (0.334, 0.334, 0.334)
Dy (0.449, 0.777, 0.111)
Dy (0.551, 0.223, 0.889)
Dy (0.666, 0.666, 0.666)
Dy (0.777, 0.111, 0.449)
Dy (0.889, 0.551, 0.223)
Ir (0.058, 0.722, 0.392)
Ir (0.278, 0.608, 0.942)
Ir (0.392, 0.058, 0.722)
Ir (0.608, 0.942, 0.278)
Ir (0.722, 0.392, 0.058)
Ir (0.942, 0.278, 0.608)

---

# 4
Compound: SmDy2Ir9
Source: Alexandria
Functional: PBE-GGA
Structure: optimized geometry

- energy of formation from the pure elements (kJ/mol of formula units) = -674.0
- crystal system = trigonal
- total moment (μB/atom) = 0.000
- space-group type = No. 166

Lattice parameters (Å, degrees): 9.294 9.294 9.294 33.31 33.31 33.31
Element x y z (fractional)
Sm (0.000, 0.000, 0.000)
Dy (0.139, 0.139, 0.139)
Dy (0.861, 0.861, 0.861)
Ir (0.083, 0.582, 0.582)
Ir (0.333, 0.333, 0.333)
Ir (0.418, 0.418, 0.917)
Ir (0.418, 0.917, 0.418)
Ir (0.500, 0.500, 0.500)
Ir (0.582, 0.083, 0.582)
Ir (0.582, 0.582, 0.083)
Ir (0.667, 0.667, 0.667)
Ir (0.917, 0.418, 0.418)